A relaxed structure of VCrNiIr. Source: Alexandria via LeMat-Bulk, functional PBE-GGA.

a = 3.652 Å, b = 3.665 Å, c = 3.742 Å
α = 90.00°, β = 90.00°, γ = 90.00°
Fractional coordinates of all 4 atoms:
1 V 0.000 0.000 0.000
2 Cr 0.500 0.500 0.000
3 Ni 0.000 0.500 0.500
4 Ir 0.500 0.000 0.500

Summary:
* ΔE to the lowest computed polymorph: 0.0 meV/atom
* DFT total energy: -8.6040 eV/atom
* DOS(E_F): 3.03 states/eV/cell
* mass density: 11.7 g/cm³

***

A relaxed structure of PuMnPt2. Source: Alexandria via LeMat-Bulk, functional PBE-GGA.

a = 4.116 Å, b = 4.116 Å, c = 4.120 Å
α = 90.00°, β = 90.00°, γ = 90.00°
Fractional coordinates of all 4 atoms:
1 Pu 0.000 0.000 0.000
2 Mn 0.500 0.500 0.000
3 Pt 0.000 0.500 0.500
4 Pt 0.500 0.000 0.500

Summary:
* ΔE to the lowest computed polymorph: 0.0 meV/atom
* DFT total energy: -9.4351 eV/atom
* DOS(E_F): 11.11 states/eV/cell
* mass density: 16.4 g/cm³

***

A relaxed structure of NdDyTmSc. Source: Alexandria via LeMat-Bulk, functional PBE-GGA.

a = 11.448 Å, b = 11.448 Å, c = 11.448 Å
α = 17.69°, β = 17.69°, γ = 17.69°
Fractional coordinates of all 4 atoms:
1 Nd 0.000 0.000 0.000
2 Dy 0.171 0.171 0.171
3 Tm 0.754 0.754 0.754
4 Sc 0.584 0.584 0.584

Summary:
* ΔE to the lowest computed polymorph: 0.0 meV/atom
* DFT total energy: -4.9878 eV/atom
* DOS(E_F): 5.91 states/eV/cell
* mass density: 7.2 g/cm³

***

A relaxed structure of Mg7Cd2Pd. Source: Alexandria via LeMat-Bulk, functional PBE-GGA.

a = 7.364 Å, b = 7.364 Å, c = 7.364 Å
α = 60.00°, β = 60.00°, γ = 60.00°
Fractional coordinates of all 10 atoms:
1 Mg 0.000 0.000 0.000
2 Mg 0.262 0.262 0.738
3 Mg 0.262 0.738 0.262
4 Mg 0.262 0.738 0.738
5 Mg 0.738 0.262 0.262
6 Mg 0.738 0.262 0.738
7 Mg 0.738 0.738 0.262
8 Cd 0.250 0.250 0.250
9 Cd 0.750 0.750 0.750
10 Pd 0.500 0.500 0.500

Summary:
* DFT total energy: -1.6372 eV/atom
* DOS(E_F): 4.45 states/eV/cell
* mass density: 2.9 g/cm³

***

A relaxed structure of PmNd3Dy3. Source: Alexandria via LeMat-Bulk, functional PBE-GGA.

a = 9.701 Å, b = 9.701 Å, c = 5.811 Å
α = 90.00°, β = 90.00°, γ = 120.00°
Fractional coordinates of all 14 atoms:
1 Pm 0.333 0.667 0.250
2 Pm 0.667 0.333 0.750
3 Nd 0.095 0.621 0.750
4 Nd 0.379 0.474 0.750
5 Nd 0.474 0.095 0.250
6 Nd 0.526 0.905 0.750
7 Nd 0.621 0.526 0.250
8 Nd 0.905 0.379 0.250
9 Dy 0.046 0.812 0.250
10 Dy 0.188 0.233 0.250
11 Dy 0.233 0.046 0.750
12 Dy 0.767 0.954 0.250
13 Dy 0.812 0.767 0.750
14 Dy 0.954 0.188 0.750

Summary:
* ΔE to the lowest computed polymorph: 0.0 meV/atom
* DFT total energy: -4.6696 eV/atom
* DOS(E_F): 24.60 states/eV/cell
* mass density: 7.5 g/cm³

***

A relaxed structure of Cs2TlPb2. Source: Alexandria via LeMat-Bulk, functional PBE-GGA.

a = 7.419 Å, b = 7.419 Å, c = 10.170 Å
α = 96.68°, β = 96.68°, γ = 62.70°
Fractional coordinates of all 10 atoms:
1 Cs 0.047 0.264 0.167
2 Cs 0.264 0.047 0.667
3 Cs 0.736 0.953 0.333
4 Cs 0.953 0.736 0.833
5 Tl 0.387 0.613 0.250
6 Tl 0.613 0.387 0.750
7 Pb 0.273 0.506 0.492
8 Pb 0.494 0.727 0.008
9 Pb 0.506 0.273 0.992
10 Pb 0.727 0.494 0.508

Summary:
* ΔE to the lowest computed polymorph: 47.1 meV/atom
* DFT total energy: -2.3884 eV/atom
* DOS(E_F): 7.36 states/eV/cell
* mass density: 6.0 g/cm³

***

A relaxed structure of Zr5Cd3. Source: Alexandria via LeMat-Bulk, functional PBE-GGA.

a = 3.115 Å, b = 3.115 Å, c = 18.372 Å
α = 90.00°, β = 90.00°, γ = 90.00°
Fractional coordinates of all 8 atoms:
1 Zr 0.000 0.000 0.000
2 Zr 0.000 0.000 0.249
3 Zr 0.000 0.000 0.751
4 Zr 0.500 0.500 0.372
5 Zr 0.500 0.500 0.628
6 Cd 0.000 0.000 0.500
7 Cd 0.500 0.500 0.121
8 Cd 0.500 0.500 0.879

Summary:
* ΔE to the lowest computed polymorph: 0.0 meV/atom
* DFT total energy: -5.7992 eV/atom
* DOS(E_F): 8.78 states/eV/cell
* mass density: 7.4 g/cm³

***

A relaxed structure of SmY2Th2. Source: Alexandria via LeMat-Bulk, functional PBE-GGA.

a = 14.726 Å, b = 14.726 Å, c = 14.726 Å
α = 14.01°, β = 14.01°, γ = 14.01°
Fractional coordinates of all 5 atoms:
1 Sm 0.000 0.000 0.000
2 Y 0.401 0.401 0.401
3 Y 0.599 0.599 0.599
4 Th 0.199 0.199 0.199
5 Th 0.801 0.801 0.801

Summary:
* ΔE to the lowest computed polymorph: 0.0 meV/atom
* DFT total energy: -6.4821 eV/atom
* DOS(E_F): 6.44 states/eV/cell
* mass density: 8.1 g/cm³

***

A relaxed structure of SrPd2Pb4. Source: Alexandria via LeMat-Bulk, functional PBE-GGA.

a = 19.750 Å, b = 4.769 Å, c = 7.741 Å
α = 90.00°, β = 90.00°, γ = 90.00°
Fractional coordinates of all 28 atoms:
1 Sr 0.143 0.250 0.022
2 Sr 0.357 0.750 0.522
3 Sr 0.643 0.250 0.478
4 Sr 0.857 0.750 0.978
5 Pd 0.039 0.750 0.237
6 Pd 0.216 0.250 0.535
7 Pd 0.284 0.750 0.035
8 Pd 0.461 0.250 0.737
9 Pd 0.539 0.750 0.263
10 Pd 0.716 0.250 0.965
11 Pd 0.784 0.750 0.465
12 Pd 0.961 0.250 0.763
13 Pb 0.031 0.750 0.857
14 Pb 0.067 0.250 0.495
15 Pb 0.182 0.750 0.322
16 Pb 0.194 0.750 0.735
17 Pb 0.306 0.250 0.235
18 Pb 0.318 0.250 0.822
19 Pb 0.433 0.750 0.995
20 Pb 0.469 0.250 0.357
21 Pb 0.531 0.750 0.643
22 Pb 0.567 0.250 0.005
23 Pb 0.682 0.750 0.178
24 Pb 0.694 0.750 0.765
25 Pb 0.806 0.250 0.265
26 Pb 0.818 0.250 0.678
27 Pb 0.933 0.750 0.505
28 Pb 0.969 0.250 0.143

Summary:
* DFT total energy: -4.2322 eV/atom
* DOS(E_F): 11.37 states/eV/cell
* mass density: 10.3 g/cm³

***

A relaxed structure of ZnAsP2. Source: Alexandria via LeMat-Bulk, functional PBE-GGA.

a = 2.602 Å, b = 3.566 Å, c = 7.316 Å
α = 90.00°, β = 100.00°, γ = 90.00°
Fractional coordinates of all 4 atoms:
1 Zn 0.000 0.000 0.000
2 As 0.633 0.500 0.248
3 P 0.768 0.000 0.520
4 P 0.874 0.500 0.736

Summary:
* ΔE to the lowest computed polymorph: 133.2 meV/atom
* DFT total energy: -4.0090 eV/atom
* DOS(E_F): 1.46 states/eV/cell
* mass density: 5.0 g/cm³

***

A relaxed structure of UVP2. Source: Alexandria via LeMat-Bulk, functional PBE-GGA.

a = 6.166 Å, b = 6.166 Å, c = 6.166 Å
α = 35.06°, β = 35.06°, γ = 35.06°
Fractional coordinates of all 4 atoms:
1 U 0.000 0.000 0.000
2 V 0.500 0.500 0.500
3 P 0.237 0.237 0.237
4 P 0.763 0.763 0.763

Summary:
* ΔE to the lowest computed polymorph: 0.0 meV/atom
* DFT total energy: -8.5844 eV/atom
* DOS(E_F): 6.41 states/eV/cell
* mass density: 8.4 g/cm³

***

A relaxed structure of Sm4MnBr5. Source: Alexandria via LeMat-Bulk, functional PBE-GGA.

a = 9.394 Å, b = 9.394 Å, c = 9.289 Å
α = 104.41°, β = 104.41°, γ = 24.27°
Fractional coordinates of all 10 atoms:
1 Sm 0.001 0.001 0.235
2 Sm 0.363 0.363 0.929
3 Sm 0.637 0.637 0.071
4 Sm 0.999 0.999 0.765
5 Mn 0.500 0.500 0.000
6 Br 0.167 0.167 0.318
7 Br 0.169 0.169 0.851
8 Br 0.500 0.500 0.500
9 Br 0.831 0.831 0.149
10 Br 0.833 0.833 0.682

Summary:
* DFT total energy: -4.8698 eV/atom
* DOS(E_F): 3.19 states/eV/cell
* formation energy without anion corrections: -118.56 kJ/mol of atoms
* mass density: 5.4 g/cm³